Entry 1:
This record from Alexandria via LeMat-Bulk describes a relaxed Ac6AsRh2I2 crystal. The functional is PBE.

a = 7.733 Å, b = 7.733 Å, c = 8.632 Å
α = 98.15°, β = 98.15°, γ = 118.70°
Positions (direct):
Ac 0.092 0.437 0.807
Ac 0.204 0.204 0.192
Ac 0.437 0.092 0.807
Ac 0.563 0.908 0.193
Ac 0.796 0.796 0.808
Ac 0.908 0.563 0.193
As 0.500 0.500 0.000
Rh 0.170 0.830 0.000
Rh 0.830 0.170 0.000
I 0.338 0.662 0.500
I 0.662 0.338 0.500

Magnetic moment in μB/atom: 0.0413
ΔE_f (raw) in meV/atom: -899.2
Calculated density in g/cm³: 7.2

Entry 2:
This record from Alexandria via LeMat-Bulk describes a relaxed SmDyMgTi crystal. The functional is PBE.

a = 5.285 Å, b = 5.285 Å, c = 5.285 Å
α = 60.00°, β = 60.00°, γ = 60.00°
Positions (direct):
Sm 0.000 0.000 0.000
Dy 0.500 0.500 0.500
Mg 0.250 0.250 0.250
Ti 0.750 0.750 0.750

Magnetic moment in μB/atom: 0.4894
Formation energy from the elements in eV per atom: 0.144
Calculated density in g/cm³: 6.1

Entry 3:
This record from Alexandria via LeMat-Bulk describes a relaxed CdIn3Br6 crystal. The functional is PBE.

a = 10.031 Å, b = 10.031 Å, c = 7.372 Å
α = 90.00°, β = 90.00°, γ = 101.03°
Positions (direct):
Cd 0.208 0.792 0.500
Cd 0.792 0.208 0.000
In 0.080 0.282 0.437
In 0.282 0.080 0.937
In 0.426 0.574 0.836
In 0.574 0.426 0.336
In 0.718 0.920 0.437
In 0.920 0.718 0.937
Br 0.047 0.953 0.621
Br 0.133 0.561 0.687
Br 0.219 0.781 0.151
Br 0.305 0.391 0.126
Br 0.391 0.305 0.626
Br 0.439 0.867 0.687
Br 0.561 0.133 0.187
Br 0.609 0.695 0.126
Br 0.695 0.609 0.626
Br 0.781 0.219 0.651
Br 0.867 0.439 0.187
Br 0.953 0.047 0.121

Magnetic moment in μB/atom: 0.0107
ΔE_f (raw) in meV/atom: -676.8
Calculated density in g/cm³: 4.3

Entry 4:
This record from Alexandria via LeMat-Bulk describes a relaxed Er3Ga3Rh crystal. The functional is PBE.

a = 5.747 Å, b = 5.747 Å, c = 14.319 Å
α = 107.31°, β = 107.31°, γ = 42.27°
Positions (direct):
Er 0.027 0.027 0.381
Er 0.110 0.110 0.924
Er 0.237 0.237 0.236
Er 0.763 0.763 0.764
Er 0.890 0.890 0.076
Er 0.973 0.973 0.619
Ga 0.360 0.360 0.463
Ga 0.392 0.392 0.925
Ga 0.477 0.477 0.771
Ga 0.523 0.523 0.229
Ga 0.608 0.608 0.075
Ga 0.640 0.640 0.537
Rh 0.261 0.261 0.614
Rh 0.739 0.739 0.386

Magnetic moment in μB/atom: 0.0000
Formation energy from the elements in eV per atom: -0.731
Calculated density in g/cm³: 9.0

Entry 5:
This record from Alexandria via LeMat-Bulk describes a relaxed Cs3Nb2SnO8 crystal. The functional is PBE.

a = 6.354 Å, b = 6.354 Å, c = 8.471 Å
α = 90.00°, β = 90.00°, γ = 120.00°
Positions (direct):
Cs 0.000 0.000 0.000
Cs 0.333 0.667 0.720
Cs 0.667 0.333 0.280
Nb 0.333 0.667 0.276
Nb 0.667 0.333 0.724
Sn 0.000 0.000 0.500
O 0.168 0.337 0.345
O 0.168 0.832 0.345
O 0.333 0.667 0.061
O 0.337 0.168 0.655
O 0.663 0.832 0.345
O 0.667 0.333 0.939
O 0.832 0.168 0.655
O 0.832 0.663 0.655

Magnetic moment in μB/atom: 0.0657
ΔE_f (raw) in meV/atom: -2083.2
Calculated density in g/cm³: 4.7

Entry 6:
This record from Alexandria via LeMat-Bulk describes a relaxed Ti2Nb4Co crystal. The functional is PBE.

a = 7.273 Å, b = 7.273 Å, c = 7.273 Å
α = 143.36°, β = 143.36°, γ = 52.79°
Positions (direct):
Ti 0.122 0.122 0.000
Ti 0.878 0.878 0.000
Nb 0.000 0.500 0.500
Nb 0.314 0.314 0.000
Nb 0.500 0.000 0.500
Nb 0.686 0.686 0.000
Co 0.500 0.500 0.000

Magnetic moment in μB/atom: 0.0000
Formation energy from the elements in eV per atom: 0.802
Calculated density in g/cm³: 6.4

Entry 7:
This record from Alexandria via LeMat-Bulk describes a relaxed PmPaHgBi crystal. The functional is PBE.

a = 5.425 Å, b = 5.425 Å, c = 5.425 Å
α = 60.00°, β = 60.00°, γ = 60.00°
Positions (direct):
Pm 0.000 0.000 0.000
Pa 0.500 0.500 0.500
Hg 0.750 0.750 0.750
Bi 0.250 0.250 0.250

Magnetic moment in μB/atom: 0.6404
Formation energy from the elements in eV per atom: -0.162
Calculated density in g/cm³: 11.6

Entry 8:
This record from Alexandria via LeMat-Bulk describes a relaxed Au3Se2 crystal. The functional is PBE.

a = 3.807 Å, b = 3.807 Å, c = 8.388 Å
α = 90.00°, β = 90.00°, γ = 120.00°
Positions (direct):
Au 0.000 0.000 0.000
Au 0.333 0.667 0.396
Au 0.667 0.333 0.604
Se 0.333 0.667 0.809
Se 0.667 0.333 0.191

Magnetic moment in μB/atom: 0.0000
ΔE_f (raw) in meV/atom: 166.2
Calculated density in g/cm³: 11.8

calculated density of number 4 (Er3Ga3Rh)? 9.0 g/cm³